Density functional theory data (GGA-PBEsol) for LuAlB14 after structural relaxation.

```
LuAlB14
1.0
5.880 0.000 0.000
2.940 6.597 -0.004
2.940 1.558 6.410
B Lu Al
28 2 2
Direct
0.328 0.968 0.872
0.100 0.225 0.900
0.590 0.242 0.579
0.090 0.079 0.742
0.600 0.400 0.725
0.828 0.372 0.468
0.167 0.032 0.128
0.833 0.968 0.872
0.775 0.225 0.900
0.833 0.201 0.134
0.900 0.775 0.100
0.355 0.022 0.269
0.333 0.372 0.468
0.145 0.231 0.478
0.275 0.400 0.725
0.667 0.628 0.532
0.855 0.769 0.522
0.910 0.921 0.258
0.400 0.600 0.275
0.645 0.978 0.731
0.225 0.775 0.100
0.333 0.634 0.701
0.725 0.600 0.275
0.172 0.628 0.532
0.167 0.799 0.866
0.672 0.032 0.128
0.410 0.758 0.421
0.667 0.366 0.299
0.750 0.598 0.902
0.250 0.402 0.098
0.000 0.000 0.500
0.500 0.000 0.500
```

total DFT energy (no corrections) = -6.901 eV per atom
DOS at the Fermi energy = 0.120 states/eV/atom



Density functional theory data (GGA-PBEsol) for MgAl3B after structural relaxation.

```
MgAl3B
1.0
4.963 0.000 0.000
0.000 4.963 0.000
0.000 0.000 4.963
Al B Mg
3 1 1
Direct
0.000 0.000 0.500
0.500 0.000 0.000
0.000 0.500 0.000
0.500 0.500 0.500
0.000 0.000 0.000
```

total DFT energy (no corrections) = -2.405 eV per atom
DOS at the Fermi energy = 0.620 states/eV/atom



Density functional theory data (GGA-PBEsol) for MgAlB4 after structural relaxation.

```
MgAlB4
1.0
-2.982 0.364 0.411
1.236 -2.760 0.221
1.022 0.981 6.539
B Al Mg
4 1 1
Direct
0.667 0.333 0.766
0.667 0.333 0.234
0.333 0.667 0.234
0.333 0.667 0.766
0.000 0.000 0.000
0.000 0.000 0.500
```

total DFT energy (no corrections) = -5.823 eV per atom
DOS at the Fermi energy = 0.169 states/eV/atom



Density functional theory data (GGA-PBEsol) for MgAl2B after structural relaxation.

```
MgAl2B
1.0
-2.963 -2.490 -2.672
-1.176 -5.195 2.006
-5.496 0.687 1.314
B Al Mg
2 4 2
Direct
0.250 0.500 0.500
0.500 0.000 0.000
0.375 0.399 0.101
0.875 0.601 0.899
0.524 0.101 0.601
0.226 0.899 0.399
0.000 0.000 0.000
0.750 0.500 0.500
```

total DFT energy (no corrections) = -3.992 eV per atom
DOS at the Fermi energy = 0.348 states/eV/atom



Density functional theory data (GGA-PBEsol) for MgAl2B28 after structural relaxation.

```
MgAl2B28
1.0
7.173 0.000 0.000
-2.622 6.679 0.000
-2.368 -3.250 10.189
B Mg Al
56 2 4
Direct
0.537 0.413 0.294
0.775 0.102 0.548
0.194 0.272 0.797
0.706 0.731 0.677
0.698 0.695 0.336
0.461 0.727 0.862
0.614 0.863 0.419
0.891 0.140 0.083
0.629 0.259 0.544
0.372 0.873 0.335
0.699 0.274 0.299
0.197 0.469 0.425
0.966 0.589 0.205
0.386 0.135 0.582
0.711 0.464 0.086
0.807 0.530 0.577
0.302 0.530 0.075
0.211 0.468 0.586
0.791 0.270 0.829
0.632 0.124 0.664
0.132 0.259 0.040
0.793 0.536 0.417
0.727 0.899 0.954
0.295 0.270 0.326
0.803 0.725 0.203
0.204 0.724 0.173
0.540 0.535 0.166
0.275 0.098 0.049
0.868 0.739 0.962
0.381 0.122 0.415
0.108 0.856 0.919
0.042 0.534 0.666
0.129 0.120 0.163
0.962 0.725 0.361
0.191 0.689 0.835
0.871 0.878 0.838
0.286 0.531 0.917
0.032 0.407 0.795
0.622 0.877 0.587
0.807 0.308 0.166
0.882 0.127 0.916
0.959 0.466 0.335
0.466 0.587 0.708
0.302 0.305 0.666
0.617 0.101 0.391
0.457 0.469 0.836
0.119 0.869 0.086
0.225 0.897 0.452
0.383 0.898 0.610
0.305 0.730 0.707
0.694 0.463 0.926
0.370 0.742 0.457
0.121 0.096 0.891
0.540 0.273 0.141
0.884 0.900 0.112
0.037 0.273 0.640
0.502 0.887 0.113
0.996 0.093 0.399
0.510 0.510 0.499
0.217 0.478 0.235
0.794 0.532 0.766
0.455 0.149 0.812
```

offset from the most stable computed form = 0 meV per atom
total DFT energy (no corrections) = -6.776 eV per atom



Density functional theory data (GGA-PBEsol) for MgAl2B28 after structural relaxation.

```
MgAl2B28
1.0
-2.266 0.208 -5.406
5.326 -4.646 0.732
-4.008 -3.529 4.688
B Al Mg
28 2 1
Direct
0.697 0.533 0.872
0.986 0.898 0.272
0.610 0.268 0.465
0.001 0.729 0.098
0.969 0.140 0.311
0.367 0.531 0.724
0.001 0.098 0.729
0.309 0.097 0.728
0.168 0.263 0.592
0.969 0.311 0.140
0.287 0.121 0.465
0.821 0.734 0.410
0.017 0.855 0.689
0.796 0.473 0.126
0.675 0.274 0.898
0.017 0.689 0.855
0.309 0.728 0.097
0.195 0.533 0.869
0.697 0.872 0.533
0.610 0.465 0.268
0.367 0.724 0.531
0.675 0.898 0.274
0.287 0.465 0.121
0.796 0.126 0.473
0.168 0.592 0.263
0.986 0.272 0.898
0.821 0.410 0.734
0.195 0.869 0.533
0.486 0.497 0.497
0.531 0.152 0.152
0.686 0.884 0.884
```

offset from the most stable computed form = 21 meV per atom
total DFT energy (no corrections) = -6.755 eV per atom



Density functional theory data (GGA-PBEsol) for NaMg3Al6Si6B3O31 after structural relaxation.

```
NaMg3Al6Si6B3O31
1.0
-3.906 2.217 5.664
-1.329 -9.467 -0.286
8.965 2.589 2.094
Si O Al B Mg Na
6 31 6 3 3 1
Direct
0.279 0.806 0.617
0.472 0.811 0.194
0.279 0.617 0.806
0.662 0.383 0.189
0.472 0.194 0.811
0.662 0.189 0.383
0.702 0.816 0.205
0.479 0.000 0.277
0.885 0.184 0.389
0.479 0.277 0.000
0.812 0.850 0.519
0.932 0.000 0.817
0.702 0.205 0.816
0.293 0.481 0.330
0.812 0.519 0.850
0.116 0.183 0.183
0.307 0.721 0.000
0.307 0.000 0.721
0.932 0.817 0.000
0.655 0.593 0.593
0.586 0.279 0.279
0.705 0.000 0.000
0.104 0.717 0.429
0.387 0.283 0.712
0.675 0.571 0.288
0.885 0.389 0.184
0.293 0.330 0.481
0.497 0.795 0.611
0.387 0.712 0.283
0.963 0.150 0.670
0.201 0.723 0.723
0.963 0.670 0.150
0.063 0.407 0.000
0.497 0.611 0.795
0.104 0.429 0.717
0.675 0.288 0.571
0.063 0.000 0.407
0.118 0.562 0.225
0.118 0.225 0.562
0.556 0.662 0.438
0.556 0.438 0.662
0.894 0.775 0.338
0.894 0.338 0.775
0.233 0.330 0.330
0.903 0.670 0.000
0.903 0.000 0.670
0.719 0.809 0.809
0.909 0.000 0.191
0.909 0.191 0.000
0.231 0.000 0.000
```

total DFT energy (no corrections) = -7.613 eV per atom
raw formation energy = -2.6255 eV per atom
DOS at the Fermi energy = 0.138 states/eV/atom



Density functional theory data (GGA-PBEsol) for RbAl2BMo after structural relaxation.

```
RbAl2BMo
1.0
4.835 0.000 0.000
0.000 5.440 0.000
0.000 0.000 5.440
Al B Mo Rb
2 1 1 1
Direct
0.000 0.500 0.000
0.000 0.000 0.500
0.500 0.500 0.500
0.500 0.000 0.000
0.000 0.000 0.000
```

total DFT energy (no corrections) = -2.245 eV per atom
DOS at the Fermi energy = 0.895 states/eV/atom



Density functional theory data (GGA-PBEsol) for AlReB2Mo after structural relaxation.

```
AlReB2Mo
1.0
-0.984 -2.147 -3.112
3.721 0.021 -1.191
0.788 -3.835 2.396
B Re Mo Al
2 1 1 1
Direct
0.000 0.500 0.000
0.500 0.000 0.000
0.000 0.000 0.500
0.500 0.500 0.500
0.000 0.000 0.000
```

total DFT energy (no corrections) = -6.548 eV per atom
DOS at the Fermi energy = 0.959 states/eV/atom



Density functional theory data (GGA-PBEsol) for AlBN3 after structural relaxation.

```
AlBN3
1.0
3.710 0.000 0.000
0.000 3.710 0.000
0.000 0.000 3.710
B N Al
1 3 1
Direct
0.500 0.500 0.500
0.000 0.000 0.500
0.500 0.000 0.000
0.000 0.500 0.000
0.000 0.000 0.000
```

total DFT energy (no corrections) = -5.329 eV per atom
raw formation energy = 2.0090 eV per atom
DOS at the Fermi energy = 0.828 states/eV/atom



Density functional theory data (GGA-PBEsol) for AlBN3 after structural relaxation.

```
AlBN3
1.0
-3.059 0.450 1.276
0.465 -2.614 2.035
1.271 2.039 2.328
N Al B
3 1 1
Direct
0.500 0.000 0.000
0.000 0.500 0.000
0.000 0.000 0.500
0.500 0.500 0.500
0.000 0.000 0.000
```

total DFT energy (no corrections) = -6.370 eV per atom
raw formation energy = 0.9676 eV per atom
DOS at the Fermi energy = 0.583 states/eV/atom



Density functional theory data (GGA-PBEsol) for NaAlB14 after structural relaxation.

```
NaAlB14
1.0
-5.121 -2.455 1.315
0.159 -7.234 0.031
-0.348 -2.578 6.752
B Al Na
28 2 2
Direct
0.671 0.123 0.035
0.329 0.877 0.965
0.329 0.465 0.377
0.166 0.866 0.803
0.780 0.897 0.223
0.648 0.728 0.976
0.171 0.123 0.035
0.100 0.897 0.223
0.414 0.417 0.754
0.400 0.277 0.603
0.148 0.476 0.228
0.671 0.535 0.623
0.220 0.103 0.777
0.720 0.277 0.603
0.852 0.524 0.772
0.900 0.103 0.777
0.171 0.535 0.623
0.600 0.723 0.397
0.834 0.134 0.197
0.914 0.254 0.917
0.829 0.877 0.965
0.666 0.303 0.366
0.352 0.272 0.024
0.280 0.723 0.397
0.086 0.746 0.083
0.586 0.583 0.246
0.334 0.697 0.634
0.829 0.465 0.377
0.500 0.500 0.000
0.000 0.500 0.000
0.750 0.903 0.597
0.250 0.097 0.403
```

total DFT energy (no corrections) = -6.653 eV per atom
DOS at the Fermi energy = 0.000 states/eV/atom



Density functional theory data (GGA-PBEsol) for Na2Al2B2O7 after structural relaxation.

```
Na2Al2B2O7
1.0
-3.011 -0.454 3.721
4.204 -2.334 0.021
6.591 11.744 6.886
B O Al Na
4 14 4 4
Direct
0.294 0.673 0.396
0.673 0.294 0.896
0.374 0.676 0.105
0.676 0.374 0.605
0.969 0.406 0.582
0.963 0.553 0.919
0.406 0.969 0.082
0.655 0.001 0.882
0.214 0.600 0.750
0.600 0.214 0.250
0.001 0.655 0.382
0.656 0.650 0.613
0.650 0.656 0.113
0.553 0.963 0.419
0.319 0.402 0.386
0.405 0.081 0.619
0.402 0.319 0.886
0.081 0.405 0.119
0.317 0.683 0.639
0.314 0.627 0.861
0.683 0.317 0.139
0.627 0.314 0.361
0.016 0.031 0.250
0.005 0.992 0.999
0.031 0.016 0.750
0.992 0.005 0.499
```

offset from the most stable computed form = 0 meV per atom
total DFT energy (no corrections) = -7.319 eV per atom
raw formation energy = -2.5682 eV per atom
DOS at the Fermi energy = 0.000 states/eV/atom



Density functional theory data (GGA-PBEsol) for Na2Al2B2O7 after structural relaxation.

```
Na2Al2B2O7
1.0
4.833 -0.017 0.000
-2.425 4.200 0.000
0.000 0.000 15.287
Na O Al B
4 14 4 4
Direct
0.000 0.000 0.500
0.986 0.024 0.250
0.014 0.976 0.750
0.000 0.000 0.000
0.382 0.662 0.250
0.954 0.341 0.389
0.046 0.659 0.611
0.640 0.593 0.095
0.046 0.659 0.889
0.615 0.974 0.897
0.360 0.407 0.905
0.360 0.407 0.595
0.954 0.341 0.111
0.385 0.026 0.397
0.385 0.026 0.103
0.618 0.338 0.750
0.615 0.974 0.603
0.640 0.593 0.405
0.661 0.341 0.862
0.339 0.659 0.362
0.661 0.341 0.638
0.339 0.659 0.138
0.660 0.321 0.397
0.340 0.679 0.897
0.660 0.321 0.103
0.340 0.679 0.603
```

offset from the most stable computed form = 3 meV per atom
total DFT energy (no corrections) = -7.316 eV per atom
raw formation energy = -2.5654 eV per atom
DOS at the Fermi energy = 0.000 states/eV/atom



Density functional theory data (GGA-PBEsol) for Nb3AlB after structural relaxation.

```
Nb3AlB
1.0
4.333 0.000 0.000
0.000 4.333 0.000
0.000 0.000 4.333
Nb B Al
3 1 1
Direct
0.000 0.000 0.500
0.500 0.000 0.000
0.000 0.500 0.000
0.000 0.000 0.000
0.500 0.500 0.500
```

total DFT energy (no corrections) = -8.783 eV per atom
DOS at the Fermi energy = 0.974 states/eV/atom



Density functional theory data (GGA-PBEsol) for Nb2AlTlB after structural relaxation.

```
Nb2AlTlB
1.0
3.827 0.000 0.000
0.000 4.862 0.000
0.000 0.000 4.862
B Tl Al Nb
1 1 1 2
Direct
0.500 0.000 0.000
0.500 0.500 0.500
0.000 0.000 0.000
0.000 0.500 0.000
0.000 0.000 0.500
```

total DFT energy (no corrections) = -5.834 eV per atom
DOS at the Fermi energy = 1.136 states/eV/atom